Record 1
Dy2ScCdN | PBE-GGA | optimized geometry

Properties
SG = P4/mmm
crystal system = tetragonal
E_form (uncorrected) = -0.8871 eV per atom

Cell lengths 4.864, 4.864, 4.443 Å; angles 90.00, 90.00, 90.00 degrees
Fractional positions:
Dy  0.000  0.500  0.000
Dy  0.500  0.000  0.000
Sc  0.000  0.000  0.500
Cd  0.500  0.500  0.500
N  0.000  0.000  0.000

---

Record 2
SmDy2CdN | PBE-GGA | optimized geometry

Properties
SG = P4/mmm
crystal system = tetragonal
E_form (uncorrected) = -0.8146 eV per atom

Cell lengths 4.827, 4.827, 4.974 Å; angles 90.00, 90.00, 90.00 degrees
Fractional positions:
Sm  0.000  0.000  0.000
Dy  0.000  0.500  0.500
Dy  0.500  0.000  0.500
Cd  0.500  0.500  0.000
N  0.000  0.000  0.500

---

Record 3
Dy2TmCdN | PBE-GGA | optimized geometry

Properties
SG = P4/mmm
crystal system = tetragonal
E_form (uncorrected) = -0.8616 eV per atom

Cell lengths 4.835, 4.835, 4.730 Å; angles 90.00, 90.00, 90.00 degrees
Fractional positions:
Dy  0.000  0.500  0.000
Dy  0.500  0.000  0.000
Tm  0.000  0.000  0.500
Cd  0.500  0.500  0.500
N  0.000  0.000  0.000

---

Record 4
NaDy2Cd4 | PBE-GGA | optimized geometry

Properties
energy of formation from the pure elements = -0.048 eV per atom
SG = R-3m
crystal system = trigonal

Cell lengths 8.024, 8.024, 8.024 Å; angles 38.25, 38.25, 38.25 degrees
Fractional positions:
Na  0.000  0.000  0.000
Dy  0.275  0.275  0.275
Dy  0.725  0.725  0.725
Cd  0.131  0.131  0.131
Cd  0.423  0.423  0.423
Cd  0.577  0.577  0.577
Cd  0.869  0.869  0.869

---

Record 5
NaDy2Cd6 | PBE-GGA | optimized geometry

Properties
energy of formation from the pure elements = -0.241 eV per atom
SG = P6/mmm
crystal system = hexagonal

Cell lengths 8.708, 8.708, 3.351 Å; angles 90.00, 90.00, 120.00 degrees
Fractional positions:
Na  0.000  0.000  0.000
Dy  0.333  0.667  0.000
Dy  0.667  0.333  0.000
Cd  0.000  0.333  0.500
Cd  0.000  0.667  0.500
Cd  0.333  0.000  0.500
Cd  0.333  0.333  0.500
Cd  0.667  0.000  0.500
Cd  0.667  0.667  0.500

---

Record 6
NaDy5Cd6 | PBE-GGA | optimized geometry

Properties
energy of formation from the pure elements = -0.269 eV per atom
SG = Cmmm
crystal system = orthorhombic

Cell lengths 8.326, 8.326, 7.480 Å; angles 90.00, 90.00, 143.01 degrees
Fractional positions:
Na  0.000  0.000  0.000
Dy  0.000  0.000  0.500
Dy  0.333  0.667  0.500
Dy  0.334  0.666  0.000
Dy  0.666  0.334  0.000
Dy  0.667  0.333  0.500
Cd  0.166  0.834  0.247
Cd  0.166  0.834  0.753
Cd  0.500  0.500  0.251
Cd  0.500  0.500  0.749
Cd  0.834  0.166  0.247
Cd  0.834  0.166  0.753

---

Record 7
NaDyCd17 | PBE-GGA | optimized geometry

Properties
energy of formation from the pure elements = -0.066 eV per atom
SG = R3m
crystal system = trigonal

Cell lengths 7.719, 7.719, 7.719 Å; angles 81.91, 81.91, 81.91 degrees
Fractional positions:
Na  0.000  0.000  0.000
Dy  0.335  0.335  0.335
Cd  0.043  0.043  0.449
Cd  0.043  0.449  0.043
Cd  0.135  0.686  0.686
Cd  0.318  0.318  0.782
Cd  0.318  0.782  0.318
Cd  0.360  0.661  0.966
Cd  0.360  0.966  0.661
Cd  0.449  0.043  0.043
Cd  0.557  0.557  0.557
Cd  0.661  0.360  0.966
Cd  0.661  0.966  0.360
Cd  0.686  0.135  0.686
Cd  0.686  0.686  0.135
Cd  0.751  0.751  0.751
Cd  0.782  0.318  0.318
Cd  0.966  0.360  0.661
Cd  0.966  0.661  0.360

---

Record 8
Na3Dy12Cd5 | PBE-GGA | optimized geometry

Properties
energy of formation from the pure elements = 0.613 eV per atom
SG = Ia-3d
crystal system = cubic

Cell lengths 15.656, 15.656, 15.656 Å; angles 109.47, 109.47, 109.47 degrees
Fractional positions:
Na  0.125  0.250  0.375
Na  0.125  0.375  0.750
Na  0.250  0.375  0.125
Na  0.250  0.875  0.625
Na  0.375  0.125  0.250
Na  0.375  0.750  0.125
Na  0.625  0.250  0.875
Na  0.625  0.875  0.750
Na  0.750  0.125  0.375
Na  0.750  0.625  0.875
Na  0.875  0.625  0.250
Na  0.875  0.750  0.625
Dy  0.050  0.216  0.123
Dy  0.050  0.334  0.927
Dy  0.073  0.623  0.407
Dy  0.073  0.950  0.666
Dy  0.093  0.716  0.666
Dy  0.093  0.877  0.427
Dy  0.123  0.050  0.216
Dy  0.123  0.573  0.907
Dy  0.166  0.216  0.593
Dy  0.166  0.450  0.573
Dy  0.216  0.123  0.050
Dy  0.216  0.593  0.166
Dy  0.284  0.334  0.907
Dy  0.284  0.450  0.377
Dy  0.334  0.907  0.284
Dy  0.334  0.927  0.050
Dy  0.377  0.284  0.450
Dy  0.377  0.593  0.927
Dy  0.407  0.073  0.623
Dy  0.407  0.834  0.784
Dy  0.427  0.093  0.877
Dy  0.427  0.834  0.550
Dy  0.450  0.377  0.284
Dy  0.450  0.573  0.166
Dy  0.550  0.427  0.834
Dy  0.550  0.623  0.716
Dy  0.573  0.166  0.450
Dy  0.573  0.907  0.123
Dy  0.593  0.166  0.216
Dy  0.593  0.927  0.377
Dy  0.623  0.407  0.073
Dy  0.623  0.716  0.550
Dy  0.666  0.073  0.950
Dy  0.666  0.093  0.716
Dy  0.716  0.550  0.623
Dy  0.716  0.666  0.093
Dy  0.784  0.407  0.834
Dy  0.784  0.877  0.950
Dy  0.834  0.550  0.427
Dy  0.834  0.784  0.407
Dy  0.877  0.427  0.093
Dy  0.877  0.950  0.784
Dy  0.907  0.123  0.573
Dy  0.907  0.284  0.334
Dy  0.927  0.050  0.334
Dy  0.927  0.377  0.593
Dy  0.950  0.666  0.073
Dy  0.950  0.784  0.877
Cd  0.000  0.000  0.000
Cd  0.000  0.000  0.500
Cd  0.000  0.500  0.000
Cd  0.000  0.500  0.500
Cd  0.125  0.750  0.875
Cd  0.125  0.875  0.250
Cd  0.250  0.125  0.875
Cd  0.250  0.625  0.375
Cd  0.375  0.250  0.625
Cd  0.375  0.625  0.750
Cd  0.500  0.000  0.000
Cd  0.500  0.000  0.500
Cd  0.500  0.500  0.000
Cd  0.500  0.500  0.500
Cd  0.625  0.375  0.250
Cd  0.625  0.750  0.375
Cd  0.750  0.375  0.625
Cd  0.750  0.875  0.125
Cd  0.875  0.125  0.750
Cd  0.875  0.250  0.125